1.
The following is a PBE calculation of an optimized crystal structure of MnC3N, from the Alexandria database.

Cell lengths 3.3517, 3.3517, 3.3517 Å; angles 90.00, 90.00, 90.00 degrees
With the nearest neighbours (Å) after each atom.
Positions (direct):
Mn (0.0000, 0.0000, 0.0000)  12 C 2.37
C (0.0000, 0.5000, 0.5000)  2 N 1.68
C (0.5000, 0.0000, 0.5000)  2 N 1.68
C (0.5000, 0.5000, 0.0000)  2 N 1.68
N (0.5000, 0.5000, 0.5000)  6 C 1.68

As for the formation energy (no corrections): 3.06 eV per atom. Its magnetic moment is 0.00 μB/atom. As for the energy above the most stable polymorph in this dataset: 357 meV per atom.

***

2.
The following is a PBE calculation of an optimized crystal structure of SrTaAsBr2, from the Alexandria database.

Cell lengths 5.5766, 5.5766, 6.2557 Å; angles 90.00, 90.00, 90.00 degrees
With the nearest neighbours (Å) after each atom.
Positions (direct):
Sr (0.0000, 0.0000, 0.0000)  4 Br 2.79
Ta (0.5000, 0.5000, 0.5000)  4 As 3.94, 8 Br 4.19
As (0.0000, 0.0000, 0.5000)  2 Sr 3.13
Br (0.0000, 0.5000, 0.0000)  2 Sr 2.79
Br (0.5000, 0.0000, 0.0000)  2 Sr 2.79

As for the formation energy (no corrections): 0.68 eV per atom. Its magnetic moment is 0.40 μB/atom. As for the energy above the most stable polymorph in this dataset: 1190 meV per atom.

***

3.
The following is a PBE calculation of an optimized crystal structure of BaCrTe4, from the Alexandria database.

Cell lengths 6.5332, 6.5332, 6.5332 Å; angles 60.00, 60.00, 60.00 degrees
With the nearest neighbours (Å) after each atom.
Positions (direct):
Ba (0.0000, 0.0000, 0.0000)  12 Te 3.83, 4 Cr 4.00
Cr (0.7500, 0.7500, 0.7500)  12 Te 3.83, 4 Ba 4.00
Te (0.3758, 0.3758, 0.3758)  6 Te 3.25-3.29
Te (0.3758, 0.3758, 0.8725)  6 Te 3.25-3.29
Te (0.3758, 0.8725, 0.3758)  6 Te 3.25-3.29
Te (0.8725, 0.3758, 0.3758)  6 Te 3.25-3.29

As for the formation energy (no corrections): 0.05 eV per atom. Its magnetic moment is 0.96 μB/atom.